Computed, not measured: a geometry-optimized Sc3PdSe structure at the PBE-GGA level of DFT.

Cell: 4.923 4.923 4.923 Å, 90.00 90.00 90.00°
Space group Pm-3m (No. 221)
Inequivalent atoms, fractional coordinates:
Sc 0.000 0.000 0.500 [3 per cell]
Pd 0.500 0.500 0.500 [1 per cell]
Se 0.000 0.000 0.000 [1 per cell]

Summary:
- final energy (eV per atom) = -5.8923
- relative energy among the computed polymorphs (eV/atom) = 0.000
- formation energy without anion corrections (eV/f.u.) = -1.8
- total moment (μB/cell) = 0.0